Entry 1:
Entry from the Alexandria database: crystalline Li2Cu8Ni3 at its relaxed geometry (GGA-PBE).

Geometry as POSCAR:
```
Li2Cu8Ni3
1.0
5.2557 -3.3538 0.0000
5.2557 3.3538 0.0000
-0.7880 0.0000 4.6871
Li Cu Ni
2 8 3
Direct
0.2052 0.2052 0.2956
0.7948 0.7948 0.7044
0.1959 0.1959 0.7814
0.2005 0.5668 0.0603
0.4128 0.4128 0.6267
0.4332 0.7995 0.9397
0.5668 0.2005 0.0603
0.5872 0.5872 0.3733
0.7995 0.4332 0.9397
0.8041 0.8041 0.2186
0.0000 0.0000 0.0000
0.1716 0.8284 0.5000
0.8284 0.1716 0.5000
```

Computed properties:
space-group type: C2/m, No. 12
spin magnetization: 0.000 μB per formula unit
E: -52.55 eV/f.u.

Entry 2:
Entry from the Alexandria database: crystalline Li2Cu2Ni3 at its relaxed geometry (GGA-PBE).

Geometry as POSCAR:
```
Li2Cu2Ni3
1.0
3.9260 -1.8369 0.0000
3.9260 1.8369 0.0000
-0.8668 0.0000 5.5168
Li Cu Ni
2 2 3
Direct
0.0676 0.0676 0.2204
0.9324 0.9324 0.7796
0.3517 0.3517 0.0747
0.6483 0.6483 0.9253
0.2165 0.2165 0.6351
0.5000 0.5000 0.5000
0.7835 0.7835 0.3649
```

Computed properties:
space-group type: C2/m, No. 12
spin magnetization: 0.063 μB per formula unit
E: -29.34 eV/f.u.
relative energy among the computed polymorphs: 0.16 eV per formula unit

Entry 3:
Entry from the Alexandria database: crystalline Li2Cu6Ni at its relaxed geometry (GGA-PBE).

Geometry as POSCAR:
```
Li2Cu6Ni
1.0
5.6633 -4.3369 0.0000
5.6633 4.3369 0.0000
-0.4310 0.0000 4.5996
Li Cu Ni
4 12 2
Direct
0.1482 0.2380 0.3506
0.2380 0.1482 0.8506
0.7620 0.8518 0.1494
0.8518 0.7620 0.6494
0.0698 0.5700 0.2197
0.1361 0.8544 0.0003
0.1456 0.8639 0.4997
0.2405 0.5276 0.7284
0.4300 0.9302 0.2803
0.4724 0.7595 0.7716
0.5276 0.2405 0.2284
0.5700 0.0698 0.7197
0.7595 0.4724 0.2716
0.8544 0.1361 0.5003
0.8639 0.1456 0.9997
0.9302 0.4300 0.7803
0.4063 0.5937 0.2500
0.5937 0.4063 0.7500
```

Computed properties:
space-group type: C2/c, No. 15
spin magnetization: 0.000 μB per formula unit
E: -33.67 eV/f.u.
relative energy among the computed polymorphs: 0.00 eV per formula unit

Entry 4:
Entry from the Alexandria database: crystalline Li2CuNi2 at its relaxed geometry (GGA-PBE).

Geometry as POSCAR:
```
Li2CuNi2
1.0
6.5516 0.0000 0.0000
0.0000 6.5516 0.0000
0.0000 0.0000 2.7497
Li Cu Ni
4 2 4
Direct
0.1729 0.3271 0.0000
0.3271 0.8271 0.0000
0.6729 0.1729 0.0000
0.8271 0.6729 0.0000
0.0000 0.0000 0.5000
0.5000 0.5000 0.5000
0.1266 0.6266 0.5000
0.3734 0.1266 0.5000
0.6266 0.8734 0.5000
0.8734 0.3734 0.5000
```

Computed properties:
space-group type: P4/mbm, No. 127
spin magnetization: 0.000 μB per formula unit
E: -18.55 eV/f.u.
relative energy among the computed polymorphs: 0.88 eV per formula unit

Entry 5:
Entry from the Alexandria database: crystalline LiCu6Ni5 at its relaxed geometry (GGA-PBE).

Geometry as POSCAR:
```
LiCu6Ni5
1.0
1.7937 -5.3254 0.0000
1.7937 5.3254 0.0000
-0.0180 0.0000 7.1495
Li Cu Ni
1 6 5
Direct
0.0000 0.0000 0.0000
0.1671 0.8329 0.2513
0.1671 0.8329 0.7487
0.4998 0.4998 0.2502
0.5002 0.5002 0.7498
0.8329 0.1671 0.2513
0.8329 0.1671 0.7487
0.0000 0.0000 0.5000
0.3304 0.6696 0.0000
0.3345 0.6655 0.5000
0.6655 0.3345 0.5000
0.6696 0.3304 0.0000
```

Computed properties:
space-group type: C2/m, No. 12
spin magnetization: 0.000 μB per formula unit
E: -55.13 eV/f.u.
relative energy among the computed polymorphs: 0.00 eV per formula unit

Entry 6:
Entry from the Alexandria database: crystalline Li3Cu3Ni2 at its relaxed geometry (GGA-PBE).

Geometry as POSCAR:
```
Li3Cu3Ni2
1.0
3.6435 0.0000 0.0000
-0.0011 3.7256 0.0000
-1.7965 -1.8459 6.9982
Li Cu Ni
3 3 2
Direct
0.0000 0.0000 0.0000
0.3666 0.8672 0.7357
0.6334 0.1328 0.2643
0.1308 0.6302 0.2597
0.5000 0.5000 0.0000
0.8692 0.3698 0.7403
0.2511 0.2506 0.5014
0.7489 0.7494 0.4986
```

Computed properties:
space-group type: P-1, No. 2
spin magnetization: 0.000 μB per formula unit
E: -29.62 eV/f.u.
relative energy among the computed polymorphs: 0.21 eV per formula unit

What is the formula in the third record?
Li2Cu6Ni